No. 1
Entry from Alexandria: an optimized crystal structure of MgIr2Rh (PBE).

Results
Theoretical density in g cm⁻³: 14.094
Crystal system: orthorhombic
Calculated formation energy in eV/atom: 0.102
Uncorrected energy in eV/cell: -26.261
Space group: No. 65

```
MgIr2Rh
1.0
1.405 -2.358 0.000
1.405 2.358 0.000
0.000 0.000 9.096
Mg Ir Rh
1 2 1
Direct
0.000 0.000 0.000
0.500 0.500 0.247
0.500 0.500 0.753
0.000 0.000 0.500
```

No. 2
Entry from Alexandria: an optimized crystal structure of Eu2GdAs (PBE).

Results
Theoretical density in g cm⁻³: 5.744
Crystal system: trigonal
Calculated formation energy in eV/atom: -0.340
Uncorrected energy in eV/cell: -40.640
Space group: No. 166

```
Eu2GdAs
1.0
2.042 1.179 10.728
-2.042 1.179 10.728
0.000 -2.358 10.728
Eu Gd As
2 1 1
Direct
0.113 0.113 0.113
0.887 0.887 0.887
0.000 0.000 0.000
0.500 0.500 0.500
```

No. 3
Entry from Alexandria: an optimized crystal structure of Y5Ho3 (PBE).

Results
Theoretical density in g cm⁻³: 6.058
Crystal system: orthorhombic
Calculated formation energy in eV/atom: 0.000
Uncorrected energy in eV/cell: -46.054
Space group: No. 25

```
Y5Ho3
1.0
3.635 0.000 0.000
0.000 5.628 0.000
0.000 0.000 12.587
Y Ho
5 3
Direct
0.000 0.000 0.000
0.000 0.000 0.496
0.000 0.500 0.832
0.500 0.000 0.747
0.500 0.500 0.580
0.000 0.500 0.329
0.500 0.000 0.248
0.500 0.500 0.082
```

No. 4
Entry from Alexandria: an optimized crystal structure of Ac8ZnIr2 (PBE).

Results
Theoretical density in g cm⁻³: 9.304
Crystal system: monoclinic
Calculated formation energy in eV/atom: -0.217
Uncorrected energy in eV/cell: -54.252
Space group: No. 8

```
Ac8ZnIr2
1.0
4.526 -6.957 0.000
4.526 6.957 0.000
-1.764 0.000 6.421
Ac Zn Ir
8 1 2
Direct
0.000 0.000 0.000
0.032 0.299 0.609
0.155 0.610 0.206
0.299 0.032 0.609
0.453 0.723 0.817
0.610 0.155 0.206
0.723 0.453 0.817
0.741 0.741 0.404
0.373 0.373 0.039
0.071 0.683 0.711
0.683 0.071 0.711
```